# 1
# NaCe2Sn PBE optimized geometry
# M_tot, μB/atom: 0.655
# DFT formation energy, meV per atom: -155
# V, Å³ per cell: 111.72
# Crystal system: tetragonal
data_NaCe2Sn
_symmetry_space_group_name_H-M 'P 4/m m m'
_symmetry_Int_Tables_number 123
_symmetry_space_group_name_Hall '-P 4 2'
_cell_length_a 4.8229
_cell_length_b 4.8229
_cell_length_c 4.8030
_cell_angle_alpha 90.00
_cell_angle_beta 90.00
_cell_angle_gamma 90.00
loop_
_atom_site_label
_atom_site_type_symbol
_atom_site_fract_x
_atom_site_fract_y
_atom_site_fract_z
_atom_site_occupancy
Na1 Na 0.0000 0.0000 0.0000 1
Ce1 Ce 0.0000 0.5000 0.5000 1
Sn1 Sn 0.5000 0.5000 0.0000 1

# 2
# YZrPb PBE optimized geometry
# M_tot, μB/atom: 0.000
# DFT formation energy, meV per atom: -131
# V, Å³ per cell: 160.84
# Crystal system: tetragonal
# Distance to the lowest polymorph of the same formula, meV per atom: 296.0
data_YZrPb
_symmetry_space_group_name_H-M 'I 4 m m'
_symmetry_Int_Tables_number 107
_symmetry_space_group_name_Hall 'I 4 -2'
_cell_length_a 3.3266
_cell_length_b 3.3266
_cell_length_c 14.5341
_cell_angle_alpha 90.00
_cell_angle_beta 90.00
_cell_angle_gamma 90.00
loop_
_atom_site_label
_atom_site_type_symbol
_atom_site_fract_x
_atom_site_fract_y
_atom_site_fract_z
_atom_site_occupancy
Y1 Y 0.0000 0.0000 0.0000 1
Zr1 Zr 0.0000 0.0000 0.6646 1
Pb1 Pb 0.0000 0.0000 0.3243 1

# 3
# HgPb2 PBE optimized geometry
# M_tot, μB/atom: 0.000
# DFT formation energy, meV per atom: 43
# V, Å³ per cell: 177.69
# Crystal system: hexagonal
# Distance to the lowest polymorph of the same formula, meV per atom: 30.8
data_HgPb2
_symmetry_space_group_name_H-M 'P 63/m m c'
_symmetry_Int_Tables_number 194
_symmetry_space_group_name_Hall '-P 6c 2c'
_cell_length_a 5.4369
_cell_length_b 5.4369
_cell_length_c 6.9411
_cell_angle_alpha 90.00
_cell_angle_beta 90.00
_cell_angle_gamma 120.00
loop_
_atom_site_label
_atom_site_type_symbol
_atom_site_fract_x
_atom_site_fract_y
_atom_site_fract_z
_atom_site_occupancy
Hg1 Hg 0.3333 0.6667 0.2500 1
Pb1 Pb 0.0000 0.0000 0.0000 1
Pb2 Pb 0.3333 0.6667 0.7500 1

# 4
# ZrAu3Br PBE optimized geometry
# Uncorrected formation energy, eV/atom: 1.06
# M_tot, μB/atom: 0.335
# V, Å³ per cell: 126.98
# Crystal system: cubic
# Distance to the lowest polymorph of the same formula, meV per atom: 401.4
data_ZrAu3Br
_symmetry_space_group_name_H-M 'P m -3 m'
_symmetry_Int_Tables_number 221
_symmetry_space_group_name_Hall '-P 4 2 3'
_cell_length_a 5.0263
_cell_length_b 5.0263
_cell_length_c 5.0263
_cell_angle_alpha 90.00
_cell_angle_beta 90.00
_cell_angle_gamma 90.00
loop_
_atom_site_label
_atom_site_type_symbol
_atom_site_fract_x
_atom_site_fract_y
_atom_site_fract_z
_atom_site_occupancy
Zr1 Zr 0.0000 0.0000 0.0000 1
Au1 Au 0.0000 0.5000 0.5000 1
Br1 Br 0.5000 0.5000 0.5000 1

- Among the records above, which one has the highest V?
  HgPb2